(1)
The following is a PBE-GGA calculation of a geometry-optimized La2ErGe3Pt12 structure, from Alexandria.

Calculated values
The density of states at the Fermi level is 0.45 states/eV per atom. The energy relative to the elements is -0.44 eV/atom.

Structure (POSCAR):
```
La2ErGe3Pt12
1.0
-1.548 -7.701 0.156
5.222 -4.379 3.908
-2.477 -2.770 6.922
Ge Pt Er La
3 12 1 2
direct
0.000 0.500 0.000
0.500 0.000 0.000
0.000 0.000 0.500
0.359 0.905 0.359
0.905 0.359 0.359
0.641 0.095 0.641
0.359 0.359 0.905
0.641 0.641 0.095
0.853 0.394 0.853
0.853 0.853 0.394
0.394 0.853 0.853
0.095 0.641 0.641
0.606 0.147 0.147
0.147 0.606 0.147
0.147 0.147 0.606
0.000 0.000 0.000
0.601 0.601 0.601
0.399 0.399 0.399
```



(2)
The following is a PBE-GGA calculation of a geometry-optimized NpMoP2Rh structure, from Alexandria.

Calculated values
The density of states at the Fermi level is 2.66 states/eV per atom. The energy relative to the elements is -0.62 eV/atom.

Structure (POSCAR):
```
NpMoP2Rh
1.0
-3.150 1.739 1.946
-2.349 -3.218 -0.926
4.127 -1.478 3.702
P Np Mo Rh
2 1 1 1
direct
0.377 0.377 0.754
0.623 0.623 0.246
0.000 0.000 0.000
0.250 0.750 0.500
0.750 0.250 0.500
```



Number 1: total energy -6.036 eV/atom, magnetization 0.0 μB per cell. Number 2: total energy -9.007 eV/atom, magnetization 3.8 μB per cell.